# VRuF2

A relaxed structure of VRuF2 (GGA+U, the Alexandria database).

Computed properties:
The value obtained for the total energy is -5.67 eV/atom. The calculation puts the total magnetic moment at 0.92 μB per formula unit. The calculation puts the relative energy among the computed polymorphs at 450 meV per atom.

POSCAR file:
```
VRuF2
1.0
-0.376 -3.164 -1.925
2.438 1.245 -2.523
6.674 -4.028 1.716
Ru V F
2 2 4
direct
0.000 0.000 0.000 Ru
0.750 0.250 0.500 Ru
0.500 0.500 0.000 V
0.250 0.750 0.500 V
0.621 0.125 0.250 F
0.129 0.625 0.250 F
0.375 0.379 0.750 F
0.875 0.871 0.750 F
```

# VRuF2

A relaxed structure of VRuF2 (GGA+U, the Alexandria database).

Computed properties:
The value obtained for the total energy is -6.12 eV/atom. The calculation puts the total magnetic moment at 5.87 μB per formula unit. The calculation puts the relative energy among the computed polymorphs at 0 meV per atom.

POSCAR file:
```
VRuF2
1.0
1.725 0.000 9.272
-0.863 1.494 9.272
-0.863 -1.494 9.272
Ru V F
1 1 2
direct
0.000 0.000 0.000 Ru
0.500 0.500 0.500 V
0.875 0.875 0.875 F
0.125 0.125 0.125 F
```

# VRuF2

A relaxed structure of VRuF2 (GGA+U, the Alexandria database).

Computed properties:
The value obtained for the total energy is -5.09 eV/atom. The calculation puts the total magnetic moment at 5.59 μB per formula unit. The calculation puts the relative energy among the computed polymorphs at 1035 meV per atom.

POSCAR file:
```
VRuF2
1.0
0.000 2.990 2.990
2.990 0.000 2.990
2.990 2.990 0.000
Ru V F
1 1 2
direct
0.500 0.500 0.500 Ru
0.000 0.000 0.000 V
0.250 0.250 0.250 F
0.750 0.750 0.750 F
```

# V2RuF

A relaxed structure of V2RuF (GGA+U, the Alexandria database).

Computed properties:
The value obtained for the total energy is -6.13 eV/atom. The calculation puts the total magnetic moment at 4.97 μB per formula unit. The calculation puts the relative energy among the computed polymorphs at 251 meV per atom.

POSCAR file:
```
V2RuF
1.0
0.000 3.077 3.077
3.077 0.000 3.077
3.077 3.077 0.000
Ru V F
1 2 1
direct
0.500 0.500 0.500 Ru
0.250 0.250 0.250 V
0.750 0.750 0.750 V
0.000 0.000 0.000 F
```

# VRuF3

A relaxed structure of VRuF3 (GGA+U, the Alexandria database).

Computed properties:
The value obtained for the total energy is -5.01 eV/atom. The calculation puts the total magnetic moment at 2.45 μB per formula unit. The calculation puts the relative energy among the computed polymorphs at 574 meV per atom.

POSCAR file:
```
VRuF3
1.0
-1.651 -2.642 2.855
3.322 0.656 2.529
-2.024 3.232 1.820
Ru V F
1 1 3
direct
0.000 0.000 0.000 Ru
0.500 0.500 0.500 V
0.000 0.500 0.000 F
0.000 0.000 0.500 F
0.500 0.000 0.000 F
```

# V3RuF

A relaxed structure of V3RuF (GGA+U, the Alexandria database).

Computed properties:
The value obtained for the total energy is -5.54 eV/atom. The calculation puts the total magnetic moment at 9.47 μB per formula unit. The calculation puts the relative energy among the computed polymorphs at 690 meV per atom.

POSCAR file:
```
V3RuF
1.0
4.839 0.000 0.000
0.000 4.839 0.000
0.000 0.000 4.839
Ru V F
1 3 1
direct
0.000 0.000 0.000 Ru
0.000 0.500 0.000 V
0.000 0.000 0.500 V
0.500 0.000 0.000 V
0.500 0.500 0.500 F
```

# V3RuF

A relaxed structure of V3RuF (GGA+U, the Alexandria database).

Computed properties:
The value obtained for the total energy is -6.23 eV/atom. The calculation puts the total magnetic moment at 7.30 μB per formula unit. The calculation puts the relative energy among the computed polymorphs at 0 meV per atom.

POSCAR file:
```
V3RuF
1.0
4.268 0.000 0.000
0.000 4.268 0.000
0.000 0.000 4.268
Ru V F
1 3 1
direct
0.500 0.500 0.500 Ru
0.000 0.500 0.000 V
0.000 0.000 0.500 V
0.500 0.000 0.000 V
0.000 0.000 0.000 F
```

# V2RuF

A relaxed structure of V2RuF (GGA+U, the Alexandria database).

Computed properties:
The value obtained for the total energy is -6.38 eV/atom. The calculation puts the total magnetic moment at 4.51 μB per formula unit. The calculation puts the relative energy among the computed polymorphs at 0 meV per atom.

POSCAR file:
```
V2RuF
1.0
-4.350 -1.084 -4.155
4.050 -3.003 -3.456
-0.920 -4.854 -2.266
Ru V F
2 4 2
direct
0.000 0.000 0.000 Ru
0.750 0.250 0.500 Ru
0.575 0.125 0.250 V
0.175 0.625 0.250 V
0.375 0.425 0.750 V
0.875 0.825 0.750 V
0.500 0.500 0.000 F
0.250 0.750 0.500 F
```